Below is a relaxed structure of V4Cr5W, with properties calculated at the GGA-PBE level. Values from VASP.

Properties
**E_form**: -0.07 eV/atom
**D(E_F)**: 0.85 states/eV/atom
**Magnetization**: 0.00 μB per formula unit
**Crystal system**: tetragonal
**Uncorrected energy**: -9.827 eV/atom

Geometry as Quantum ESPRESSO input:
```
&SYSTEM
  ibrav = 0, nat = 10, ntyp = 3
/
ATOMIC_SPECIES
V 50.94 V.upf
Cr 52.00 Cr.upf
W 183.84 W.upf
ATOMIC_POSITIONS crystal
V 0.0000 0.0000 0.2039
V 0.0000 0.0000 0.4013
V 0.0000 0.0000 0.5987
V 0.0000 0.0000 0.7961
Cr 0.5000 0.5000 0.1049
Cr 0.5000 0.5000 0.3024
Cr 0.5000 0.5000 0.5000
Cr 0.5000 0.5000 0.6976
Cr 0.5000 0.5000 0.8951
W 0.0000 0.0000 0.0000
CELL_PARAMETERS angstrom
2.9425 0.0000 0.0000
0.0000 2.9425 0.0000
0.0000 0.0000 14.6836
```